{"formula": "Sm2ThSe3", "functional": "PBE", "state": "optimized geometry", "e_form_raw_mev_per_atom": -1702.8, "crystal_system": "hexagonal", "n_ef_per_ev_cell": 7.5, "m_tot_mub_per_cell": 0.00, "lattice_angstrom": [[4.097, 0.000, 0.000], [-2.049, 3.548, 0.000], [0.000, 0.000, 21.416]], "species": ["Sm", "Sm", "Sm", "Sm", "Th", "Th", "Se", "Se", "Se", "Se", "Se", "Se"], "fractional_positions": [[0.333, 0.667, 0.082], [0.333, 0.667, 0.418], [0.667, 0.333, 0.582], [0.667, 0.333, 0.918], [0.000, 0.000, 0.250], [0.000, 0.000, 0.750], [0.000, 0.000, 0.000], [0.000, 0.000, 0.500], [0.333, 0.667, 0.663], [0.333, 0.667, 0.837], [0.667, 0.333, 0.163], [0.667, 0.333, 0.337]]}